A plane-wave DFT calculation with PBE was carried out for a geometry-optimized LaYTmMg structure.

Values from the calculation:
The value obtained for the total magnetization is 0.00 μB/f.u. The electronic total energy comes out at -4.384 eV/atom. As for the formation energy from the elements: -0.02 eV/atom. Its calculated volume is 122.8 Å³/cell.

Cell: 3.7245 3.7245 8.8543 Å, 90.00 90.00 90.00°
Last column: nearest neighbours and their distance in Å.
Space group P4mm (No. 99)
One atom of each set of equivalent atoms:
La  0.0000  0.0000  0.0000 [1 per cell]  4 Tm 3.61, 4 Y 3.67, 4 La 3.72
Y  0.5000  0.5000  0.7115 [1 per cell]  4 Mg 3.28, 4 La 3.67
Tm  0.5000  0.5000  0.2780 [1 per cell]  4 Mg 3.24, 4 La 3.61
Mg  0.0000  0.0000  0.4912 [1 per cell]  4 Tm 3.24, 4 Y 3.28